Compound: BaCuAs2W
Source: the Alexandria database
Functional: meta-GGA SCAN
Structure: single point on PBEsol structure

Unit cell a=5.537 b=5.537 c=5.519 alpha=90.00 beta=90.00 gamma=90.00
Fractional coordinates of all 5 atoms:
Ba (0.000, 0.000, 0.000)
Cu (0.500, 0.500, 0.500)
As (0.000, 0.500, 0.000)
As (0.500, 0.000, 0.000)
W (0.000, 0.000, 0.500)

Results
The formation energy is 263 kJ per mole of atoms.